The following is a DFT calculation (meta-GGA SCAN) of a crystal of TaNb relaxed with PBEsol.

Lattice parameters (Å, degrees): 2.840 2.840 4.631 90.00 90.00 109.40
Atoms (fractional coordinates):
Ta (0.500, 0.500, 0.500)
Nb (0.000, 0.000, 0.000)

Total magnetic moment, μB per cell: 0.0
Space-group type: Cmmm, No. 65
ΔE_f, eV/atom: -0.001
Final energy, eV/atom: -49.858